(1)
Density functional theory data (PBE) for a geometry-optimized VFe2Ni2 structure.

* N(E_F): 6.98 states/eV/cell
* density: 7.79 g/cm3
* crystal system: tetragonal
* distance to the lowest polymorph of the same formula: 13 meV/atom
* total DFT energy (no corrections): -7.4262 eV/atom

a b c (Å): 6.8938 6.8938 2.5118
angles (deg): 90.00 90.00 90.00
Fractional positions:
V 0.0000 0.0000 0.0000
V 0.5000 0.5000 0.0000
Fe 0.1221 0.3779 0.0000
Fe 0.3779 0.8779 0.0000
Fe 0.6221 0.1221 0.0000
Fe 0.8779 0.6221 0.0000
Ni 0.1741 0.6741 0.5000
Ni 0.3259 0.1741 0.5000
Ni 0.6741 0.8259 0.5000
Ni 0.8259 0.3259 0.5000

---

(2)
Density functional theory data (PBE) for a geometry-optimized K2NbVGa structure.

* N(E_F): 20.50 states/eV/cell
* density: 2.13 g/cm3
* crystal system: tetragonal
* total DFT energy (no corrections): -3.3213 eV/atom

a b c (Å): 6.4495 6.4495 5.4657
angles (deg): 90.00 90.00 90.00
Fractional positions:
K 0.0000 0.5000 0.0000
K 0.5000 0.0000 0.0000
Nb 0.0000 0.0000 0.5000
V 0.5000 0.5000 0.5000
Ga 0.0000 0.0000 0.0000

---

(3)
Density functional theory data (PBE) for a geometry-optimized TcW2Cl structure.

* N(E_F): 2.59 states/eV/cell
* density: 9.85 g/cm3
* ΔE_f (raw): 0.623 eV/atom
* crystal system: orthorhombic
* distance to the lowest polymorph of the same formula: 260 meV/atom
* total DFT energy (no corrections): -8.9063 eV/atom

a b c (Å): 3.0488 3.9099 7.0903
angles (deg): 90.00 90.00 90.00
Fractional positions:
Tc 0.0000 0.0000 0.0000
W 0.0000 0.0000 0.3233
W 0.5000 0.5000 0.1538
Cl 0.5000 0.5000 0.7971

---

(4)
Density functional theory data (PBE) for a geometry-optimized V5Cr2W5 structure.

* N(E_F): 8.01 states/eV/cell
* density: 12.35 g/cm3
* crystal system: monoclinic
* total DFT energy (no corrections): -10.8543 eV/atom

a b c (Å): 5.0737 5.0737 9.2390
angles (deg): 107.85 107.85 50.18
Fractional positions:
V 0.0000 0.0000 0.0000
V 0.1636 0.1636 0.4997
V 0.2535 0.2535 0.2534
V 0.7465 0.7465 0.7466
V 0.8364 0.8364 0.5003
Cr 0.0812 0.0812 0.7488
Cr 0.9188 0.9188 0.2512
W 0.3317 0.3317 0.9981
W 0.4151 0.4151 0.7471
W 0.5000 0.5000 0.5000
W 0.5849 0.5849 0.2529
W 0.6683 0.6683 0.0019

---

(5)
Density functional theory data (PBE) for a geometry-optimized Nd2HfS5 structure.

* density: 6.07 g/cm3
* ΔE_f (raw): -1.901 eV/atom
* crystal system: orthorhombic
* distance to the lowest polymorph of the same formula: 0 meV/atom
* total DFT energy (no corrections): -6.9172 eV/atom

a b c (Å): 11.6259 7.9989 7.3867
angles (deg): 90.00 90.00 90.00
Fractional positions:
Nd 0.1759 0.0012 0.0364
Nd 0.1759 0.4988 0.0364
Nd 0.3241 0.5012 0.5364
Nd 0.3241 0.9988 0.5364
Nd 0.6759 0.0012 0.4636
Nd 0.6759 0.4988 0.4636
Nd 0.8241 0.5012 0.9636
Nd 0.8241 0.9988 0.9636
Hf 0.0075 0.7500 0.5735
Hf 0.4925 0.2500 0.0735
Hf 0.5075 0.7500 0.9265
Hf 0.9925 0.2500 0.4265
S 0.0050 0.7500 0.9414
S 0.0842 0.0350 0.6655
S 0.0842 0.4650 0.6655
S 0.1838 0.7500 0.3448
S 0.2054 0.2500 0.3236
S 0.2946 0.7500 0.8236
S 0.3162 0.2500 0.8448
S 0.4158 0.5350 0.1655
S 0.4158 0.9650 0.1655
S 0.4950 0.2500 0.4414
S 0.5050 0.7500 0.5586
S 0.5842 0.0350 0.8345
S 0.5842 0.4650 0.8345
S 0.6838 0.7500 0.1552
S 0.7054 0.2500 0.1764
S 0.7946 0.7500 0.6764
S 0.8162 0.2500 0.6552
S 0.9158 0.5350 0.3345
S 0.9158 0.9650 0.3345
S 0.9950 0.2500 0.0586

---

(6)
Density functional theory data (PBE) for a geometry-optimized Si23H3 structure.

* density: 2.02 g/cm3
* crystal system: cubic
* total DFT energy (no corrections): -4.8838 eV/atom

a b c (Å): 10.2108 10.2108 10.2108
angles (deg): 90.00 90.00 90.00
Fractional positions:
Si 0.0000 0.1171 0.3082
Si 0.0000 0.1171 0.6918
Si 0.0000 0.2500 0.5000
Si 0.0000 0.7500 0.5000
Si 0.0000 0.8829 0.3082
Si 0.0000 0.8829 0.6918
Si 0.1171 0.3082 0.0000
Si 0.1171 0.6918 0.0000
Si 0.1836 0.1836 0.1836
Si 0.1836 0.1836 0.8164
Si 0.1836 0.8164 0.1836
Si 0.1836 0.8164 0.8164
Si 0.1918 0.3829 0.5000
Si 0.1918 0.6171 0.5000
Si 0.2500 0.5000 0.0000
Si 0.3082 0.0000 0.1171
Si 0.3082 0.0000 0.8829
Si 0.3164 0.3164 0.3164
Si 0.3164 0.3164 0.6836
Si 0.3164 0.6836 0.3164
Si 0.3164 0.6836 0.6836
Si 0.3829 0.5000 0.1918
Si 0.3829 0.5000 0.8082
Si 0.5000 0.0000 0.2500
Si 0.5000 0.0000 0.7500
Si 0.5000 0.1918 0.3829
Si 0.5000 0.1918 0.6171
Si 0.5000 0.8082 0.3829
Si 0.5000 0.8082 0.6171
Si 0.6171 0.5000 0.1918
Si 0.6171 0.5000 0.8082
Si 0.6836 0.3164 0.3164
Si 0.6836 0.3164 0.6836
Si 0.6836 0.6836 0.3164
Si 0.6836 0.6836 0.6836
Si 0.6918 0.0000 0.1171
Si 0.6918 0.0000 0.8829
Si 0.7500 0.5000 0.0000
Si 0.8082 0.3829 0.5000
Si 0.8082 0.6171 0.5000
Si 0.8164 0.1836 0.1836
Si 0.8164 0.1836 0.8164
Si 0.8164 0.8164 0.1836
Si 0.8164 0.8164 0.8164
Si 0.8829 0.3082 0.0000
Si 0.8829 0.6918 0.0000
H 0.0000 0.5000 0.2500
H 0.0000 0.5000 0.7500
H 0.2500 0.0000 0.5000
H 0.5000 0.2500 0.0000
H 0.5000 0.7500 0.0000
H 0.7500 0.0000 0.5000

---

(7)
Density functional theory data (PBE) for a geometry-optimized BeCdIr2 structure.

* N(E_F): 2.64 states/eV/cell
* density: 14.64 g/cm3
* crystal system: tetragonal
* distance to the lowest polymorph of the same formula: 92 meV/atom
* total DFT energy (no corrections): -5.5868 eV/atom

a b c (Å): 2.8982 2.8982 6.8321
angles (deg): 90.00 90.00 90.00
Fractional positions:
Be 0.0000 0.0000 0.0000
Cd 0.5000 0.5000 0.2824
Ir 0.0000 0.0000 0.5727
Ir 0.5000 0.5000 0.8484

---

(8)
Density functional theory data (PBE) for a geometry-optimized Li3SmGa2 structure.

* N(E_F): 5.43 states/eV/cell
* density: 4.40 g/cm3
* crystal system: monoclinic
* total DFT energy (no corrections): -3.0887 eV/atom

a b c (Å): 7.2586 7.2586 8.5134
angles (deg): 117.19 117.19 36.58
Fractional positions:
Li 0.0601 0.0601 0.3852
Li 0.2908 0.2908 0.4754
Li 0.4089 0.4089 0.3073
Li 0.5911 0.5911 0.6927
Li 0.7092 0.7092 0.5246
Li 0.9399 0.9399 0.6148
Sm 0.1367 0.1367 0.0192
Sm 0.8633 0.8633 0.9808
Ga 0.2211 0.2211 0.7401
Ga 0.4449 0.4449 0.8194
Ga 0.5551 0.5551 0.1806
Ga 0.7789 0.7789 0.2599

---

(9)
Density functional theory data (PBE) for a geometry-optimized InTcAs2 structure.

* N(E_F): 2.31 states/eV/cell
* density: 8.44 g/cm3
* crystal system: tetragonal
* total DFT energy (no corrections): -5.2467 eV/atom

a b c (Å): 4.8177 4.8177 4.8177
angles (deg): 125.58 125.58 80.58
Fractional positions:
In 0.0000 0.0000 0.0000
Tc 0.5000 0.5000 0.0000
As 0.2500 0.7500 0.5000
As 0.7500 0.2500 0.5000

---

(10)
Density functional theory data (PBE) for a geometry-optimized NaFe3H structure.

* N(E_F): 3.70 states/eV/cell
* density: 3.33 g/cm3
* crystal system: cubic
* distance to the lowest polymorph of the same formula: 1915 meV/atom
* total DFT energy (no corrections): -3.5563 eV/atom

a b c (Å): 4.5718 4.5718 4.5718
angles (deg): 90.00 90.00 90.00
Fractional positions:
Na 0.0000 0.0000 0.0000
Fe 0.0000 0.0000 0.5000
Fe 0.0000 0.5000 0.0000
Fe 0.5000 0.0000 0.0000
H 0.5000 0.5000 0.5000

---

(11)
Density functional theory data (PBE) for a geometry-optimized LiPmYCd structure.

* N(E_F): 5.66 states/eV/cell
* density: 5.47 g/cm3
* crystal system: cubic
* total DFT energy (no corrections): -3.6423 eV/atom

a b c (Å): 5.3314 5.3314 5.3314
angles (deg): 60.00 60.00 60.00
Fractional positions:
Li 0.0000 0.0000 0.0000
Pm 0.7500 0.7500 0.7500
Y 0.2500 0.2500 0.2500
Cd 0.5000 0.5000 0.5000

---

(12)
Density functional theory data (PBE) for a geometry-optimized SrMg2Tl2 structure.

* N(E_F): 2.64 states/eV/cell
* density: 6.23 g/cm3
* crystal system: tetragonal
* distance to the lowest polymorph of the same formula: 0 meV/atom
* total DFT energy (no corrections): -2.1483 eV/atom

a b c (Å): 7.4053 7.4053 7.4053
angles (deg): 143.12 143.12 53.15
Fractional positions:
Sr 0.0000 0.0000 0.0000
Mg 0.2500 0.7500 0.5000
Mg 0.7500 0.2500 0.5000
Tl 0.3871 0.3871 0.0000
Tl 0.6129 0.6129 0.0000